! CsBaMnO4 PBE with a Hubbard U relaxed; values from VASP
! Spin magnetization in μB/f.u.: 2.00
! DFT total energy in hartree per atom: -0.2236
&SYSTEM
  ibrav = 0, nat = 14, ntyp = 4
/
ATOMIC_SPECIES
Cs 132.91 Cs.upf
Ba 137.33 Ba.upf
Mn 54.94 Mn.upf
O 16.00 O.upf
CELL_PARAMETERS angstrom
6.3988 0.0000 0.0000
0.0000 5.9876 0.0000
-1.9749 0.0000 8.0686
ATOMIC_POSITIONS angstrom
Cs 0.5721 1.4969 3.5947
Cs 3.8518 4.4907 4.4739
Ba -0.1813 1.4969 7.6684
Ba 4.6052 4.4907 0.4002
Mn 1.4047 4.4907 1.4835
Mn 3.0192 1.4969 6.5851
O 0.0219 4.4907 2.4948
O -1.0802 4.4907 7.9058
O 2.4292 3.1208 1.6917
O 2.4292 5.8605 1.6917
O 1.9947 0.1271 6.3769
O 1.9947 2.8667 6.3769
O 5.5041 1.4969 0.1628
O 4.4020 1.4969 5.5738